Material: MgMn4As
Method: DFT, PBE
State: relaxed

Structure (CIF):
```
data_MgMn4As
_cell_length_a 4.8427
_cell_length_b 4.8427
_cell_length_c 4.8427
_cell_angle_alpha 60.00
_cell_angle_beta 60.00
_cell_angle_gamma 60.00
_space_group_name_H-M_alt 'P 1'
_space_group_IT_number 1
loop_
_space_group_symop_operation_xyz
'x,y,z'
loop_
_atom_site_label
_atom_site_type_symbol
_atom_site_fract_x
_atom_site_fract_y
_atom_site_fract_z
_atom_site_occupancy
Mn1 Mn 0.8752 0.3749 0.3749 1
Mn2 Mn 0.3749 0.3749 0.3749 1
Mn3 Mn 0.3749 0.8752 0.3749 1
Mn4 Mn 0.3749 0.3749 0.8752 1
Mg1 Mg 0.0000 0.0000 0.0000 1
As1 As 0.7500 0.7500 0.7500 1
```

Calculated values
Theoretical density, g/cm3: 6.596
Total moment, μB per formula unit: 5.48
DFT total energy, eV for the cell shown: -41.1
SG: F-43m
Formation energy, eV/atom: 0.302
Crystal system: cubic
Fermi-level density of states, states/eV/f.u.: 7.7